No. 1
12
Lattice="-0.454 -4.567 1.070 4.054 -2.601 -9.383 4.318 0.007 1.864" Properties=species:S:1:pos:R:3 comment="Zr2Tc, optimized geometry, DFT PBE-GGA" formation_enthalpy_0k_ev_per_atom=-0.26 crystal_system=orthorhombic pbc="T T T"
Tc 3.769 -5.483 -2.779
Tc 1.970 -1.899 1.377
Tc 1.837 -3.203 -4.246
Tc -0.416 -4.186 0.981
Zr 5.191 -6.395 -6.070
Zr 2.216 -5.875 -5.112
Zr 3.391 -2.811 -1.913
Zr 4.602 -3.588 -4.715
Zr 0.416 -2.291 -0.955
Zr 1.005 -5.098 -2.310
Zr 3.259 -4.115 -7.536
Zr 2.348 -4.571 0.511

***

No. 2
8
Lattice="4.064 0.000 0.000 0.000 4.064 0.000 0.000 0.000 7.825" Properties=species:S:1:pos:R:3 comment="KIrO2, optimized geometry, DFT PBE-GGA" total_energy_ev_per_atom=-5.37 crystal_system=tetragonal pbc="T T T"
O 2.032 2.032 0.000
O 2.032 0.000 5.306
O 0.000 0.000 0.000
O 0.000 2.032 2.519
Ir 2.032 0.000 7.260
Ir 0.000 2.032 0.565
K 0.000 2.032 5.042
K 2.032 0.000 2.783

***

No. 3
5
Lattice="4.219 0.000 0.000 0.000 4.219 0.000 0.000 0.000 4.219" Properties=species:S:1:pos:R:3 comment="HfAl3C, optimized geometry, DFT PBE-GGA" total_energy_ev_per_atom=-5.68 crystal_system=cubic pbc="T T T"
Al 0.000 0.000 2.109
Al 0.000 2.109 0.000
Al 2.109 0.000 0.000
C 0.000 0.000 0.000
Hf 2.109 2.109 2.109

***

No. 4
12
Lattice="2.815 7.362 -1.004 -6.039 -4.727 2.079 3.789 0.075 11.178" Properties=species:S:1:pos:R:3 comment="HoLuTe3Pb, optimized geometry, DFT PBE-GGA" total_energy_ev_per_atom=-4.53 crystal_system=orthorhombic pbc="T T T"
Lu -1.612 1.318 0.538
Lu 0.282 1.355 6.127
Te -1.361 0.386 3.575
Te 5.266 5.731 10.346
Te 3.550 5.697 5.283
Te 1.926 2.325 8.679
Te -4.702 -3.020 1.907
Te -2.985 -2.986 6.971
Ho -4.597 -4.033 4.701
Ho 5.162 6.744 7.552
Pb -0.752 -1.332 9.611
Pb 1.317 4.043 2.642

***

No. 5
8
Lattice="3.592 0.000 0.000 -1.796 3.111 0.000 0.000 0.000 15.735" Properties=species:S:1:pos:R:3 comment="Ho3TmSn2C2, optimized geometry, DFT PBE-GGA" total_energy_ev_per_atom=-6.15 crystal_system=trigonal pbc="T T T"
Sn 1.796 1.037 11.815
Sn 0.000 0.000 3.932
Ho 1.796 1.037 1.322
Ho 1.796 1.037 6.535
Ho 0.000 0.000 9.201
C 0.000 2.074 7.870
C 0.000 2.074 15.722
Tm 0.000 0.000 14.412

***

No. 6
4
Lattice="-4.983 -0.025 1.898 1.062 -2.582 2.755 1.315 1.268 3.470" Properties=species:S:1:pos:R:3 comment="ErMoC2, optimized geometry, DFT PBE-GGA" total_energy_ev_per_atom=-8.03 crystal_system=hexagonal pbc="T T T"
Mo -2.492 -0.012 0.949
C -4.341 -0.021 1.653
C -0.642 -0.003 0.244
Er 1.584 -0.876 4.150

***

No. 7
9
Lattice="-1.641 0.729 5.324 5.255 -1.641 -1.120 2.242 7.398 -0.322" Properties=species:S:1:pos:R:3 comment="LiNb3As5, optimized geometry, DFT PBE-GGA" total_energy_ev_per_atom=-6.35 crystal_system=hexagonal pbc="T T T"
As 1.121 3.699 -0.161
As 2.399 5.684 2.926
As 4.698 4.894 0.778
As 1.159 1.591 3.104
As 3.457 0.801 0.956
Nb 0.301 4.063 2.501
Nb 2.928 3.243 1.941
Nb 3.749 2.878 -0.721
Li 0.000 0.000 0.000

***

No. 8
12
Lattice="-0.331 -1.514 8.229 -3.017 -2.681 -0.615 7.412 -7.805 -2.334" Properties=species:S:1:pos:R:3 comment="Rb2ZrSe3, optimized geometry, DFT PBE-GGA" total_energy_ev_per_atom=-4.80 crystal_system=monoclinic pbc="T T T"
Rb 2.706 -4.779 0.787
Rb -1.210 -3.268 -0.143
Rb 1.357 -7.221 4.494
Rb 5.273 -8.732 5.424
Zr 3.770 -9.115 0.915
Zr 0.293 -2.885 4.366
Se -2.383 -3.158 5.127
Se 1.198 -4.335 6.250
Se 2.865 -7.665 -0.969
Se -0.302 -4.925 2.625
Se 6.446 -8.842 0.153
Se 4.365 -7.075 2.655

***

No. 9
3
Lattice="-1.596 2.823 2.955 -2.738 -2.477 -2.371 0.117 -2.211 2.175" Properties=species:S:1:pos:R:3 comment="ZrS2, optimized geometry, DFT PBE-GGA" total_energy_ev_per_atom=-5.99 crystal_system=hexagonal pbc="T T T"
S -2.299 -1.815 0.493
S -1.918 -0.049 2.267
Zr 0.000 0.000 0.000

***

No. 10
3
Lattice="-4.249 -1.685 -0.759 -3.578 1.514 2.526 -3.241 2.679 -1.946" Properties=species:S:1:pos:R:3 comment="TbZnAg, optimized geometry, DFT PBE-GGA" formation_enthalpy_0k_ev_per_atom=-0.09 crystal_system=cubic pbc="T T T"
Ag 0.000 0.000 0.000
Zn -8.301 1.880 -0.135
Tb -5.534 1.254 -0.090

***

No. 11
10
Lattice="6.344 0.000 0.000 0.000 6.344 0.000 0.000 0.000 3.870" Properties=species:S:1:pos:R:3 comment="Cu2Ag3, optimized geometry, DFT PBE-GGA" formation_enthalpy_0k_ev_per_atom=0.09 crystal_system=tetragonal pbc="T T T"
Cu 5.744 1.880 0.000
Cu 1.880 0.601 0.000
Cu 4.464 5.744 0.000
Cu 0.601 4.464 0.000
Ag 3.172 3.172 0.000
Ag 5.119 3.835 1.935
Ag 2.509 5.119 1.935
Ag 3.835 1.225 1.935
Ag 0.000 0.000 1.935
Ag 1.225 2.509 1.935

***

No. 12
16
Lattice="-3.168 -0.508 0.476 2.009 0.202 2.538 -3.648 23.691 1.001" Properties=species:S:1:pos:R:3 comment="Hf8Cu2C3N3, optimized geometry, DFT PBE-GGA" total_energy_ev_per_atom=-9.74 crystal_system=trigonal pbc="T T T"
C -1.859 2.434 1.278
C 0.000 0.000 0.000
C -2.948 20.950 2.738
N -1.934 14.369 2.460
N -2.873 9.016 1.556
N -1.824 11.845 0.501
Hf -2.415 15.681 0.663
Hf -4.891 22.126 2.110
Hf -1.338 10.493 2.296
Hf -3.469 12.892 1.720
Hf 0.084 1.259 1.906
Hf -3.048 19.793 0.836
Hf -0.600 3.898 0.165
Hf -1.233 8.010 0.339
Cu -4.168 17.431 1.911
Cu -0.639 5.954 2.104